Version one
Compound: InSbW2
Source: Alexandria via LeMat-Bulk
Functional: GGA-PBEsol
Structure: relaxed

Computed properties:
DOS at the Fermi energy (states/eV/atom): 1.112
Volume (Å³/atom): 17.706

Cell lengths 3.2941, 4.6368, 4.6368 Å; angles 90.00, 90.00, 90.00 degrees
Positions (direct):
In 0.5000 0.5000 0.5000
Sb 0.5000 0.0000 0.0000
W 0.0000 0.0000 0.5000
W 0.0000 0.5000 0.0000

Version two
Compound: InSbW2
Source: Alexandria via LeMat-Bulk
Functional: GGA-PBEsol
Structure: relaxed

Computed properties:
DOS at the Fermi energy (states/eV/atom): 0.808
Volume (Å³/atom): 18.086

Cell lengths 3.0386, 3.0386, 9.2161 Å; angles 80.51, 80.51, 60.00 degrees
Positions (direct):
In 0.5000 0.5000 0.5000
Sb 0.0000 0.0000 0.0000
W 0.2535 0.2535 0.2396
W 0.7465 0.7465 0.7604

Version three
Compound: InSbW2
Source: Alexandria via LeMat-Bulk
Functional: GGA-PBEsol
Structure: relaxed

Computed properties:
DOS at the Fermi energy (states/eV/atom): 0.686
Volume (Å³/atom): 19.934

Cell lengths 2.9147, 2.9147, 10.0994 Å; angles 90.00, 90.00, 111.66 degrees
Positions (direct):
In 0.0000 0.0000 0.5343
Sb 0.5000 0.5000 0.2120
W 0.0000 0.0000 0.9763
W 0.5000 0.5000 0.7774

Which is most stable? The ranking, best first, is version three, version two, version one.

Version one
Compound: Sc5In
Source: Alexandria via LeMat-Bulk
Functional: GGA-PBEsol
Structure: relaxed

Computed properties:
DOS at the Fermi energy (states/eV/atom): 1.366
Volume (Å³/atom): 22.815

Cell lengths 3.2856, 5.0110, 8.4751 Å; angles 90.00, 101.18, 90.00 degrees
Positions (direct):
Sc 0.3298 0.0000 0.6596
Sc 0.6635 0.0000 0.3270
Sc 0.4510 0.5000 0.9021
Sc 0.7757 0.5000 0.5513
Sc 0.1123 0.5000 0.2247
In 0.0010 0.0000 0.0020

Version two
Compound: Sc5In
Source: Alexandria via LeMat-Bulk
Functional: GGA-PBEsol
Structure: relaxed

Computed properties:
DOS at the Fermi energy (states/eV/atom): 1.509
Volume (Å³/atom): 22.776

Cell lengths 3.2358, 6.0274, 7.5048 Å; angles 103.72, 90.00, 105.57 degrees
Positions (direct):
Sc 0.6701 0.3402 0.3332
Sc 0.3371 0.6742 0.6750
Sc 0.3906 0.7812 0.2737
Sc 0.0616 0.1233 0.6087
Sc 0.7123 0.4246 0.9462
In 0.9949 0.9898 0.9966

Which is most stable? The ranking, best first, is version two, version one.